(1)
# CsHgF

A relaxed structure of CsHgF (PBE-GGA, Alexandria via LeMat-Bulk).

a b c (Å): 5.748 6.827 5.746
angles (deg): 89.79 90.00 89.25
Fractional coordinates of all 6 atoms:
Cs1 0.665 0.465 0.027
Cs2 0.165 0.465 0.527
Hg1 0.660 0.962 0.524
Hg2 0.153 0.963 0.024
F1 0.163 0.554 0.027
F2 0.663 0.554 0.527

As for the total magnetization: 0.00 μB/cell. As for the energy above the most stable polymorph in this dataset: 0.16 eV per formula unit. The formation energy without anion corrections is -4.99 eV/f.u. The space-group type is P1, No. 1.

(2)
# Pu3Cd2Hg4

A relaxed structure of Pu3Cd2Hg4 (PBE-GGA, Alexandria via LeMat-Bulk).

a b c (Å): 5.098 6.065 9.403
angles (deg): 120.09 90.00 114.85
Fractional coordinates of all 9 atoms:
Pu1 0.000 0.000 0.000
Pu2 0.337 0.674 0.333
Pu3 0.663 0.326 0.667
Hg1 0.282 0.565 0.946
Hg2 0.059 0.119 0.389
Hg3 0.941 0.881 0.611
Hg4 0.718 0.435 0.054
Cd1 0.388 0.776 0.722
Cd2 0.612 0.224 0.278

As for the total magnetization: 6.10 μB/cell. The value obtained for the formation energy is -12.2 kJ/mol of atoms. The space-group type is C2/m, No. 12.

(3)
# Ba4LaSe

A relaxed structure of Ba4LaSe (PBE-GGA, Alexandria via LeMat-Bulk).

a b c (Å): 7.449 7.449 7.449
angles (deg): 60.00 60.00 60.00
Fractional coordinates of all 6 atoms:
Ba1 0.374 0.374 0.877
Ba2 0.374 0.374 0.374
Ba3 0.877 0.374 0.374
Ba4 0.374 0.877 0.374
Se1 0.000 0.000 0.000
La1 0.750 0.750 0.750

As for the total magnetization: 2.87 μB/cell. The formation energy without anion corrections is 1.60 eV/f.u. The space-group type is F-43m, No. 216.

(4)
# PRh3N

A relaxed structure of PRh3N (PBE-GGA, Alexandria via LeMat-Bulk).

a b c (Å): 4.075 4.075 4.075
angles (deg): 90.00 90.00 90.00
Fractional coordinates of all 5 atoms:
Rh1 0.000 0.500 0.000
Rh2 0.000 0.000 0.500
Rh3 0.500 0.000 0.000
N1 0.000 0.000 0.000
P1 0.500 0.500 0.500

As for the total magnetization: 1.40 μB/cell. As for the energy above the most stable polymorph in this dataset: 0.00 eV per formula unit. The formation energy without anion corrections is 1.98 eV/f.u. The space-group type is Pm-3m, No. 221.